[1]
The following is a DFT calculation (PBE) of Na2ReSn after structural relaxation.

Energy: -4.0312 eV/atom

Cell and atoms, written as CIF:
```
data_Na2ReSn
_chemical_formula_sum 'Na4 Re2 Sn2'
_cell_length_a 4.6182
_cell_length_b 4.6182
_cell_length_c 10.1174
_cell_angle_alpha 90.00
_cell_angle_beta 90.00
_cell_angle_gamma 120.00
_symmetry_space_group_name_H-M 'P 63/m m c'
_symmetry_Int_Tables_number 194
_symmetry_space_group_name_Hall '-P 6c 2c'
loop_
_atom_site_label
_atom_site_fract_x
_atom_site_fract_y
_atom_site_fract_z
_atom_site_occupancy
Na1 0.3333 0.6667 0.0744 1
Re1 0.0000 0.0000 0.2500 1
Sn1 0.3333 0.6667 0.7500 1
```

***

[2]
The following is a DFT calculation (PBE) of Tb3Zn2Ag after structural relaxation.

Formation energy from the elements: -33.4 kJ per mole of atoms
Energy: -3.5534 eV/atom

Cell and atoms, written as CIF:
```
data_Tb3Zn2Ag
_chemical_formula_sum 'Tb3 Zn2 Ag1'
_cell_length_a 3.601
_cell_length_b 3.601
_cell_length_c 10.784
_cell_angle_alpha 90.00
_cell_angle_beta 90.00
_cell_angle_gamma 90.00
_symmetry_space_group_name_H-M 'P 4/m m m'
_symmetry_Int_Tables_number 123
_symmetry_space_group_name_Hall '-P 4 2'
loop_
_atom_site_label
_atom_site_fract_x
_atom_site_fract_y
_atom_site_fract_z
_atom_site_occupancy
Tb1 0.000 0.000 0.000 1
Tb2 0.000 0.000 0.326 1
Zn1 0.500 0.500 0.161 1
Ag1 0.500 0.500 0.500 1
```

***

[3]
The following is a DFT calculation (PBE) of Gd2MgIn3Ni2 after structural relaxation.

Energy: -4.1930 eV/atom

Cell and atoms, written as CIF:
```
data_Gd2MgIn3Ni2
_chemical_formula_sum 'Gd4 Mg2 In6 Ni4'
_cell_length_a 10.134
_cell_length_b 4.353
_cell_length_c 7.624
_cell_angle_alpha 90.00
_cell_angle_beta 90.50
_cell_angle_gamma 90.00
_symmetry_space_group_name_H-M 'C 1 m 1'
_symmetry_Int_Tables_number 8
_symmetry_space_group_name_Hall 'C -2y'
loop_
_atom_site_label
_atom_site_fract_x
_atom_site_fract_y
_atom_site_fract_z
_atom_site_occupancy
Gd1 0.000 0.000 0.000 1
Gd2 0.129 0.000 0.499 1
Mg1 0.216 0.500 0.196 1
In1 0.209 0.500 0.804 1
In2 0.418 0.000 0.297 1
In3 0.419 0.000 0.697 1
Ni1 0.281 0.000 0.997 1
Ni2 0.345 0.500 0.503 1
```

***

[4]
The following is a DFT calculation (PBE) of Pm3Te2 after structural relaxation.

Energy: -5.2498 eV/atom

Cell and atoms, written as CIF:
```
data_Pm3Te2
_chemical_formula_sum 'Pm12 Te8'
_cell_length_a 12.183
_cell_length_b 4.242
_cell_length_c 11.991
_cell_angle_alpha 90.00
_cell_angle_beta 90.00
_cell_angle_gamma 90.00
_symmetry_space_group_name_H-M 'P n m a'
_symmetry_Int_Tables_number 62
_symmetry_space_group_name_Hall '-P 2ac 2n'
loop_
_atom_site_label
_atom_site_fract_x
_atom_site_fract_y
_atom_site_fract_z
_atom_site_occupancy
Pm1 0.046 0.250 0.124 1
Pm2 0.121 0.750 0.564 1
Pm3 0.214 0.250 0.793 1
Te1 0.028 0.750 0.317 1
Te2 0.193 0.750 0.996 1
```

***

[5]
The following is a DFT calculation (PBE) of AgBiH28C8Br8N4 after structural relaxation.

Energy: -4.8098 eV/atom

Cell and atoms, written as CIF:
```
data_AgBiH28C8Br8N4
_chemical_formula_sum 'Ag1 Bi1 H28 C8 Br8 N4'
_cell_length_a 8.048
_cell_length_b 8.222
_cell_length_c 9.707
_cell_angle_alpha 101.23
_cell_angle_beta 92.09
_cell_angle_gamma 90.45
_symmetry_space_group_name_H-M 'P -1'
_symmetry_Int_Tables_number 2
_symmetry_space_group_name_Hall '-P 1'
loop_
_atom_site_label
_atom_site_fract_x
_atom_site_fract_y
_atom_site_fract_z
_atom_site_occupancy
Ag1 0.000 0.000 0.000 1
Bi1 0.500 0.500 0.000 1
H1 0.029 0.726 0.211 1
H2 0.032 0.234 0.553 1
H3 0.035 0.475 0.824 1
H4 0.110 0.609 0.617 1
H5 0.144 0.584 0.271 1
H6 0.186 0.471 0.471 1
H7 0.207 0.326 0.658 1
H8 0.295 0.855 0.673 1
H9 0.313 0.963 0.463 1
H10 0.342 0.062 0.262 1
H11 0.393 0.119 0.601 1
H12 0.458 0.746 0.578 1
H13 0.464 0.174 0.180 1
H14 0.489 0.024 0.824 1
C1 0.081 0.349 0.620 1
C2 0.081 0.492 0.542 1
C3 0.419 0.868 0.633 1
C4 0.419 0.996 0.539 1
Br1 0.062 0.037 0.272 1
Br2 0.216 0.692 0.947 1
Br3 0.296 0.206 0.948 1
Br4 0.430 0.540 0.294 1
N1 0.021 0.618 0.251 1
N2 0.467 0.083 0.240 1
```

***

[6]
The following is a DFT calculation (PBE) of LuZnPt after structural relaxation.

Formation energy from the elements: -93.0 kJ per mole of atoms
Energy: -4.9123 eV/atom

Cell and atoms, written as CIF:
```
data_LuZnPt
_chemical_formula_sum 'Lu4 Zn4 Pt4'
_cell_length_a 6.634
_cell_length_b 4.395
_cell_length_c 7.674
_cell_angle_alpha 90.00
_cell_angle_beta 90.00
_cell_angle_gamma 90.00
_symmetry_space_group_name_H-M 'P n m a'
_symmetry_Int_Tables_number 62
_symmetry_space_group_name_Hall '-P 2ac 2n'
loop_
_atom_site_label
_atom_site_fract_x
_atom_site_fract_y
_atom_site_fract_z
_atom_site_occupancy
Lu1 0.000 0.250 0.198 1
Zn1 0.185 0.250 0.588 1
Pt1 0.222 0.750 0.415 1
```

***

[7]
The following is a DFT calculation (PBE) of LiZrAuSeS2 after structural relaxation.

Energy: -5.2065 eV/atom

Cell and atoms, written as CIF:
```
data_LiZrAuSeS2
_chemical_formula_sum 'Li4 Zr4 Au4 Se4 S8'
_cell_length_a 3.730
_cell_length_b 12.809
_cell_length_c 10.342
_cell_angle_alpha 90.00
_cell_angle_beta 90.00
_cell_angle_gamma 90.00
_symmetry_space_group_name_H-M 'C m c m'
_symmetry_Int_Tables_number 63
_symmetry_space_group_name_Hall '-C 2c 2'
loop_
_atom_site_label
_atom_site_fract_x
_atom_site_fract_y
_atom_site_fract_z
_atom_site_occupancy
Li1 0.000 0.250 0.250 1
Zr1 0.000 0.000 0.000 1
Au1 0.000 0.425 0.750 1
Se1 0.000 0.092 0.750 1
S1 0.000 0.362 0.534 1
```

***

[8]
The following is a DFT calculation (PBE) of LuMg2In after structural relaxation.

Energy: -2.7638 eV/atom

Cell and atoms, written as CIF:
```
data_LuMg2In
_chemical_formula_sum 'Lu4 Mg8 In4'
_cell_length_a 7.221
_cell_length_b 7.221
_cell_length_c 7.221
_cell_angle_alpha 90.00
_cell_angle_beta 90.00
_cell_angle_gamma 90.00
_symmetry_space_group_name_H-M 'F -4 3 m'
_symmetry_Int_Tables_number 216
_symmetry_space_group_name_Hall 'F -4 2 3'
loop_
_atom_site_label
_atom_site_fract_x
_atom_site_fract_y
_atom_site_fract_z
_atom_site_occupancy
Lu1 0.000 0.000 0.000 1
Mg1 0.000 0.000 0.500 1
Mg2 0.250 0.250 0.250 1
In1 0.250 0.250 0.750 1
```

***

[9]
The following is a DFT calculation (PBE) of GdCuPbSe3 after structural relaxation.

Energy: -4.7496 eV/atom

Cell and atoms, written as CIF:
```
data_GdCuPbSe3
_chemical_formula_sum 'Gd2 Cu2 Pb2 Se6'
_cell_length_a 7.918
_cell_length_b 4.082
_cell_length_c 9.955
_cell_angle_alpha 90.00
_cell_angle_beta 105.21
_cell_angle_gamma 90.00
_symmetry_space_group_name_H-M 'P 1 21/m 1'
_symmetry_Int_Tables_number 11
_symmetry_space_group_name_Hall '-P 2yb'
loop_
_atom_site_label
_atom_site_fract_x
_atom_site_fract_y
_atom_site_fract_z
_atom_site_occupancy
Gd1 0.195 0.250 0.161 1
Cu1 0.425 0.750 0.413 1
Pb1 0.255 0.750 0.699 1
Se1 0.071 0.250 0.857 1
Se2 0.250 0.250 0.457 1
Se3 0.451 0.750 0.170 1
```

***

[10]
The following is a DFT calculation (PBE) of LiFeCuTe2S after structural relaxation.

Energy: -4.1204 eV/atom

Cell and atoms, written as CIF:
```
data_LiFeCuTe2S
_chemical_formula_sum 'Li2 Fe2 Cu2 Te4 S2'
_cell_length_a 8.753
_cell_length_b 3.220
_cell_length_c 9.533
_cell_angle_alpha 90.00
_cell_angle_beta 90.00
_cell_angle_gamma 90.00
_symmetry_space_group_name_H-M 'P m m a'
_symmetry_Int_Tables_number 51
_symmetry_space_group_name_Hall '-P 2a 2a'
loop_
_atom_site_label
_atom_site_fract_x
_atom_site_fract_y
_atom_site_fract_z
_atom_site_occupancy
Li1 0.250 0.000 0.014 1
Fe1 0.000 0.000 0.500 1
Cu1 0.250 0.000 0.300 1
Te1 0.013 0.000 0.808 1
S1 0.250 0.000 0.529 1
```

***

[11]
The following is a DFT calculation (PBE) of ZrPaCd after structural relaxation.

Formation energy from the elements: 103.6 kJ per mole of atoms
Energy: -5.2394 eV/atom

Cell and atoms, written as CIF:
```
data_ZrPaCd
_chemical_formula_sum 'Zr4 Pa4 Cd4'
_cell_length_a 6.937
_cell_length_b 6.937
_cell_length_c 6.937
_cell_angle_alpha 90.00
_cell_angle_beta 90.00
_cell_angle_gamma 90.00
_symmetry_space_group_name_H-M 'F -4 3 m'
_symmetry_Int_Tables_number 216
_symmetry_space_group_name_Hall 'F -4 2 3'
loop_
_atom_site_label
_atom_site_fract_x
_atom_site_fract_y
_atom_site_fract_z
_atom_site_occupancy
Zr1 0.000 0.000 0.000 1
Pa1 0.250 0.250 0.750 1
Cd1 0.000 0.000 0.500 1
```

***

[12]
The following is a DFT calculation (PBE) of PdSe2Br2Cl4 after structural relaxation.

Energy: -2.8548 eV/atom

Cell and atoms, written as CIF:
```
data_PdSe2Br2Cl4
_chemical_formula_sum 'Pd1 Se2 Br2 Cl4'
_cell_length_a 4.670
_cell_length_b 7.097
_cell_length_c 8.788
_cell_angle_alpha 105.38
_cell_angle_beta 97.07
_cell_angle_gamma 91.94
_symmetry_space_group_name_H-M 'P -1'
_symmetry_Int_Tables_number 2
_symmetry_space_group_name_Hall '-P 1'
loop_
_atom_site_label
_atom_site_fract_x
_atom_site_fract_y
_atom_site_fract_z
_atom_site_occupancy
Pd1 0.000 0.000 0.000 1
Se1 0.334 0.222 0.209 1
Br1 0.087 0.512 0.223 1
Cl1 0.264 0.174 0.438 1
Cl2 0.302 0.125 0.852 1
```

***

[13]
The following is a DFT calculation (PBE) of NaThTlSe3 after structural relaxation.

Energy: -4.8197 eV/atom

Cell and atoms, written as CIF:
```
data_NaThTlSe3
_chemical_formula_sum 'Na4 Th4 Tl4 Se12'
_cell_length_a 4.343
_cell_length_b 14.843
_cell_length_c 11.846
_cell_angle_alpha 90.00
_cell_angle_beta 90.00
_cell_angle_gamma 90.00
_symmetry_space_group_name_H-M 'C m c m'
_symmetry_Int_Tables_number 63
_symmetry_space_group_name_Hall '-C 2c 2'
loop_
_atom_site_label
_atom_site_fract_x
_atom_site_fract_y
_atom_site_fract_z
_atom_site_occupancy
Na1 0.000 0.104 0.250 1
Th1 0.000 0.500 0.000 1
Tl1 0.000 0.182 0.750 1
Se1 0.000 0.129 0.017 1
Se2 0.000 0.469 0.250 1
```

***

[14]
The following is a DFT calculation (PBE) of RbDyPO after structural relaxation.

Energy: -4.9083 eV/atom

Cell and atoms, written as CIF:
```
data_RbDyPO
_chemical_formula_sum 'Rb2 Dy2 P2 O2'
_cell_length_a 5.796
_cell_length_b 5.796
_cell_length_c 5.150
_cell_angle_alpha 90.00
_cell_angle_beta 90.00
_cell_angle_gamma 90.00
_symmetry_space_group_name_H-M 'P 4/n m m'
_symmetry_Int_Tables_number 129
loop_
_symmetry_equiv_pos_as_xyz
'x,y,z'
'-x,-y,-z'
'-y+1/2,x,z'
'y+1/2,-x,-z'
'-x+1/2,-y+1/2,z'
'x+1/2,y+1/2,-z'
'y,-x+1/2,z'
'-y,x+1/2,-z'
'x+1/2,-y,-z'
'-x+1/2,y,z'
'-y,-x,-z'
'y,x,z'
'-x,y+1/2,-z'
'x,-y+1/2,z'
'y+1/2,x+1/2,-z'
'-y+1/2,-x+1/2,z'
loop_
_atom_site_label
_atom_site_fract_x
_atom_site_fract_y
_atom_site_fract_z
_atom_site_occupancy
Rb1 0.250 0.250 0.004 1
Dy1 0.250 0.750 0.500 1
P1 0.250 0.250 0.504 1
O1 0.250 0.750 0.000 1
```

***

[15]
The following is a DFT calculation (PBE) of LiScCdGa after structural relaxation.

Energy: -3.2528 eV/atom

Cell and atoms, written as CIF:
```
data_LiScCdGa
_chemical_formula_sum 'Li4 Sc4 Cd4 Ga4'
_cell_length_a 6.627
_cell_length_b 6.627
_cell_length_c 6.627
_cell_angle_alpha 90.00
_cell_angle_beta 90.00
_cell_angle_gamma 90.00
_symmetry_space_group_name_H-M 'F -4 3 m'
_symmetry_Int_Tables_number 216
_symmetry_space_group_name_Hall 'F -4 2 3'
loop_
_atom_site_label
_atom_site_fract_x
_atom_site_fract_y
_atom_site_fract_z
_atom_site_occupancy
Li1 0.000 0.000 0.000 1
Sc1 0.250 0.250 0.250 1
Cd1 0.000 0.000 0.500 1
Ga1 0.250 0.250 0.750 1
```

***

[16]
The following is a DFT calculation (PBE) of BeTlFeCu after structural relaxation.

Energy: -4.0062 eV/atom

Cell and atoms, written as CIF:
```
data_BeTlFeCu
_chemical_formula_sum 'Be4 Tl4 Fe4 Cu4'
_cell_length_a 6.088
_cell_length_b 6.088
_cell_length_c 6.088
_cell_angle_alpha 90.00
_cell_angle_beta 90.00
_cell_angle_gamma 90.00
_symmetry_space_group_name_H-M 'F -4 3 m'
_symmetry_Int_Tables_number 216
_symmetry_space_group_name_Hall 'F -4 2 3'
loop_
_atom_site_label
_atom_site_fract_x
_atom_site_fract_y
_atom_site_fract_z
_atom_site_occupancy
Be1 0.000 0.000 0.000 1
Tl1 0.000 0.000 0.500 1
Fe1 0.250 0.250 0.250 1
Cu1 0.250 0.250 0.750 1
```

***

[17]
The following is a DFT calculation (PBE) of TaFeAg2 after structural relaxation.

Formation energy from the elements: 42.4 kJ per mole of atoms
Energy: -6.0131 eV/atom

Cell and atoms, written as CIF:
```
data_TaFeAg2
_chemical_formula_sum 'Ta4 Fe4 Ag8'
_cell_length_a 6.359
_cell_length_b 6.359
_cell_length_c 6.359
_cell_angle_alpha 90.00
_cell_angle_beta 90.00
_cell_angle_gamma 90.00
_symmetry_space_group_name_H-M 'F -4 3 m'
_symmetry_Int_Tables_number 216
_symmetry_space_group_name_Hall 'F -4 2 3'
loop_
_atom_site_label
_atom_site_fract_x
_atom_site_fract_y
_atom_site_fract_z
_atom_site_occupancy
Ta1 0.000 0.000 0.000 1
Fe1 0.250 0.250 0.250 1
Ag1 0.000 0.000 0.500 1
Ag2 0.250 0.250 0.750 1
```

***

[18]
The following is a DFT calculation (PBE) of Pm2CuPt after structural relaxation.

Formation energy from the elements: -69.6 kJ per mole of atoms
Energy: -5.5368 eV/atom

Cell and atoms, written as CIF:
```
data_Pm2CuPt
_chemical_formula_sum 'Pm4 Cu2 Pt2'
_cell_length_a 5.694
_cell_length_b 4.554
_cell_length_c 7.758
_cell_angle_alpha 90.00
_cell_angle_beta 109.96
_cell_angle_gamma 90.00
_symmetry_space_group_name_H-M 'P 1 21/m 1'
_symmetry_Int_Tables_number 11
_symmetry_space_group_name_Hall '-P 2yb'
loop_
_atom_site_label
_atom_site_fract_x
_atom_site_fract_y
_atom_site_fract_z
_atom_site_occupancy
Pm1 0.222 0.250 0.434 1
Pm2 0.225 0.250 0.928 1
Cu1 0.348 0.750 0.210 1
Pt1 0.345 0.750 0.712 1
```

***

[19]
The following is a DFT calculation (PBE) of NiHg2H6 after structural relaxation.

Energy: -2.4542 eV/atom

Cell and atoms, written as CIF:
```
data_NiHg2H6
_chemical_formula_sum 'Ni4 Hg8 H24'
_cell_length_a 7.217
_cell_length_b 7.217
_cell_length_c 7.217
_cell_angle_alpha 90.00
_cell_angle_beta 90.00
_cell_angle_gamma 90.00
_symmetry_space_group_name_H-M 'F m -3 m'
_symmetry_Int_Tables_number 225
_symmetry_space_group_name_Hall '-F 4 2 3'
loop_
_atom_site_label
_atom_site_fract_x
_atom_site_fract_y
_atom_site_fract_z
_atom_site_occupancy
Ni1 0.000 0.000 0.000 1
Hg1 0.250 0.250 0.250 1
H1 0.000 0.000 0.212 1
```

***

[20]
The following is a DFT calculation (PBE) of BaHoN3 after structural relaxation.

Energy: -7.0433 eV/atom

Cell and atoms, written as CIF:
```
data_BaHoN3
_chemical_formula_sum 'Ba2 Ho2 N6'
_cell_length_a 6.789
_cell_length_b 3.646
_cell_length_c 7.122
_cell_angle_alpha 90.00
_cell_angle_beta 113.65
_cell_angle_gamma 90.00
_symmetry_space_group_name_H-M 'P 1 21/m 1'
_symmetry_Int_Tables_number 11
_symmetry_space_group_name_Hall '-P 2yb'
loop_
_atom_site_label
_atom_site_fract_x
_atom_site_fract_y
_atom_site_fract_z
_atom_site_occupancy
Ba1 0.008 0.250 0.235 1
Ho1 0.499 0.750 0.199 1
N1 0.247 0.750 0.567 1
N2 0.311 0.250 0.017 1
N3 0.345 0.750 0.453 1
```